(A)
Below is a relaxed structure of NaNbIn2, with properties calculated at the GGA-PBE level.

The total magnetization is 0.0 μB/f.u.

It has space group P4/mmm (No. 123), with a = 3.015 Å, b = 3.015 Å, c = 9.763 Å, α = 90.00°, β = 90.00° and γ = 90.00°. Symmetry generates all atoms from Na at (0.000, 0.000, 0.000), Nb at (0.000, 0.000, 0.500) and In at (0.500, 0.500, 0.270).

***

(B)
Below is a relaxed structure of NaNbIn2, with properties calculated at the GGA-PBE level.

The total magnetization is 0.0 μB/f.u.

It has space group P4/mmm (No. 123), with a = 5.249 Å, b = 5.249 Å, c = 3.091 Å, α = 90.00°, β = 90.00° and γ = 90.00°. Symmetry generates all atoms from Na at (0.000, 0.000, 0.000), Nb at (0.500, 0.500, 0.000) and In at (0.000, 0.500, 0.500).

***

Relative energy of each structure, in meV per atom: (A) 0; (B) 49.

***

(A)
Below is a relaxed structure of NaNb3In, with properties calculated at the GGA-PBE level.

The total magnetization is 0.0 μB/f.u.

It has space group Pm-3m (No. 221), with a = 5.158 Å, b = 5.158 Å, c = 5.158 Å, α = 90.00°, β = 90.00° and γ = 90.00°. Symmetry generates all atoms from Na at (0.000, 0.000, 0.000), Nb at (0.000, 0.500, 0.500) and In at (0.500, 0.500, 0.500).

***

(B)
Below is a relaxed structure of NaNb3In, with properties calculated at the GGA-PBE level.

The total magnetization is 0.0 μB/f.u.

It has space group Pm-3m (No. 221), with a = 4.720 Å, b = 4.720 Å, c = 4.720 Å, α = 90.00°, β = 90.00° and γ = 90.00°. Symmetry generates all atoms from Na at (0.000, 0.000, 0.000), Nb at (0.000, 0.000, 0.500) and In at (0.500, 0.500, 0.500).

***

Relative energy of each structure, in meV per atom: (A) 76; (B) 0.

***

(A)
Below is a relaxed structure of NaNbIn, with properties calculated at the GGA-PBE level.

The total magnetization is 0.0 μB/f.u.

It has space group P4/nmm (No. 129, origin choice 2), with a = 3.490 Å, b = 3.490 Å, c = 12.021 Å, α = 90.00°, β = 90.00° and γ = 90.00°. Symmetry generates all atoms from Na at (0.250, 0.250, 0.116), Nb at (0.250, 0.250, 0.447) and In at (0.250, 0.250, 0.702).

***

(B)
Below is a relaxed structure of NaNbIn, with properties calculated at the GGA-PBE level.

The total magnetization is 0.0 μB/f.u.

It has space group P-1 (No. 2), with a = 3.039 Å, b = 3.039 Å, c = 15.261 Å, α = 89.90°, β = 89.82° and γ = 76.24°. Symmetry generates all atoms from Na at (0.242, 0.247, 0.397), Nb at (0.248, 0.250, 0.070) and In at (0.255, 0.252, 0.775).

***

Relative energy of each structure, in meV per atom: (A) 0; (B) 38.